Record 1
VASP calculation (PBE) on KUBe2Cl8 after structural relaxation.

## Properties
E_form (uncorrected): -1.5702 eV per atom
electronic total energy: -53.45 eV/f.u.

Cell: 6.2647 6.2647 10.4092 Å, 72.49 72.49 60.00°
Closest atoms and distances in Å follow each position.
Sites, in units of the cell vectors:
Be (0.2507, 0.2507, 0.2480)  4 Cl 1.94-2.07
Be (0.7493, 0.7493, 0.7520)  4 Cl 1.94-2.07
Cl (0.4202, 0.7140, 0.8281)  1 Be 2.07
Cl (0.8156, 0.8156, 0.5531)  1 Be 1.94
Cl (0.0378, 0.4202, 0.8281)  1 Be 2.07
Cl (0.9622, 0.5798, 0.1719)  1 Be 2.07
Cl (0.1844, 0.1844, 0.4469)  1 Be 1.94
Cl (0.7140, 0.0378, 0.8281)  1 Be 2.07
Cl (0.5798, 0.2860, 0.1719)  1 Be 2.07
Cl (0.2860, 0.9622, 0.1719)  1 Be 2.07
K (0.5000, 0.5000, 0.5000)  12 Cl 3.65-3.84
U (0.0000, 0.0000, 0.0000)  6 Cl 2.78

***

Record 2
VASP calculation (PBE) on AcLa2Ag2 after structural relaxation.

## Properties
polymorph energy (0 for the lowest one): 0.0000 eV/atom
electronic total energy: -20.61 eV/f.u.

Cell: 3.8685 5.6305 14.4085 Å, 90.00 97.66 90.00°
Closest atoms and distances in Å follow each position.
Sites, in units of the cell vectors:
Ag (0.3570, 0.2500, 0.7151)  4 La 3.26-3.32, 4 Ac 3.42
Ag (0.6430, 0.7500, 0.2849)  4 La 3.26-3.32, 4 Ac 3.42
Ag (0.5433, 0.2500, 0.0876)  6 La 3.26-3.42, 2 Ac 3.43-3.44
Ag (0.4567, 0.7500, 0.9124)  6 La 3.26-3.42, 2 Ac 3.43-3.44
La (0.7651, 0.2500, 0.5316)  2 Ag 3.26, 4 La 3.53-3.54
La (0.0481, 0.7500, 0.0960)  8 Ag 3.26-3.42
La (0.9519, 0.2500, 0.9040)  8 Ag 3.26-3.42
La (0.2349, 0.7500, 0.4684)  2 Ag 3.26, 4 La 3.53-3.54
Ac (0.8566, 0.7500, 0.7135)  6 Ag 3.42-3.44
Ac (0.1434, 0.2500, 0.2865)  6 Ag 3.42-3.44

***

Record 3
VASP calculation (PBE) on Ac2CoSi after structural relaxation.

## Properties
E_form (uncorrected): -0.0446 eV per atom
electronic total energy: -20.92 eV/f.u.

Cell: 3.8863 5.2862 5.2862 Å, 90.00 90.00 90.00°
Closest atoms and distances in Å follow each position.
Sites, in units of the cell vectors:
Ac (0.0000, 0.0000, 0.5000)  4 Co 3.28, 4 Si 3.28
Ac (0.0000, 0.5000, 0.0000)  4 Si 3.28, 4 Co 3.28
Si (0.5000, 0.5000, 0.5000)  8 Ac 3.28
Co (0.5000, 0.0000, 0.0000)  8 Ac 3.28

***

Record 4
VASP calculation (PBE) on AlAs2W after structural relaxation.

## Properties
polymorph energy (0 for the lowest one): 0.5566 eV/atom
electronic total energy: -23.51 eV/f.u.

Cell: 4.5554 4.5554 4.5554 Å, 60.00 60.00 60.00°
Closest atoms and distances in Å follow each position.
Sites, in units of the cell vectors:
As (0.0000, 0.0000, 0.0000)  4 As 2.79, 4 W 2.79
As (0.2500, 0.2500, 0.2500)  4 Al 2.79, 4 As 2.79
W (0.7500, 0.7500, 0.7500)  4 As 2.79, 4 Al 2.79
Al (0.5000, 0.5000, 0.5000)  4 As 2.79, 4 W 2.79

***

Record 5
VASP calculation (PBE) on LaNdPt after structural relaxation.

## Properties
polymorph energy (0 for the lowest one): 0.1130 eV/atom
electronic total energy: -17.80 eV/f.u.

Cell: 3.6698 3.6698 7.0812 Å, 105.02 105.02 90.00°
Closest atoms and distances in Å follow each position.
Sites, in units of the cell vectors:
Nd (0.0383, 0.0383, 0.0766)  4 Pt 3.08, 1 La 3.41
La (0.2971, 0.2971, 0.5941)  4 Pt 3.13, 1 Nd 3.41
Pt (0.6646, 0.6646, 0.3293)  4 Nd 3.08, 4 La 3.13

***

Record 6
VASP calculation (PBE) on La2Y5Tm after structural relaxation.

## Properties
polymorph energy (0 for the lowest one): 0.0133 eV/atom
electronic total energy: -45.47 eV/f.u.

Cell: 9.9483 6.7339 10.7669 Å, 119.57 117.52 90.00°
Closest atoms and distances in Å follow each position.
Sites, in units of the cell vectors:
Y (0.6856, 0.0479, 0.2058)  3 La 3.33-3.60, 1 Tm 3.43, 1 Y 3.66
Y (0.9307, 0.7500, 0.0000)  2 La 3.14
Y (0.0693, 0.2500, 0.0000)  2 La 3.14
Y (0.4797, 0.4521, 0.7942)  3 La 3.33-3.60, 1 Tm 3.43, 1 Y 3.66
Y (0.2870, 0.8629, 0.3970)  2 Tm 3.49, 1 La 3.51, 8 Y 3.66-3.89
Y (0.8900, 0.6371, 0.6030)  2 Tm 3.49, 1 La 3.51, 8 Y 3.66-3.89
Y (0.1100, 0.3629, 0.3970)  2 Tm 3.49, 1 La 3.51, 8 Y 3.66-3.89
Y (0.7130, 0.1371, 0.6030)  2 Tm 3.49, 1 La 3.51, 8 Y 3.66-3.89
Y (0.5203, 0.5479, 0.2058)  3 La 3.33-3.60, 1 Tm 3.43, 1 Y 3.66
Y (0.3144, 0.9521, 0.7942)  3 La 3.33-3.60, 1 Tm 3.43, 1 Y 3.66
Tm (0.0000, 0.0000, 0.5000)  2 La 3.02
Tm (0.5000, 0.5000, 0.5000)  2 La 3.02
La (0.3284, 0.0385, 0.1558)  1 Tm 3.02, 2 Y 3.14-3.33, 1 La 3.33
La (0.8274, 0.5385, 0.1558)  1 Tm 3.02, 2 Y 3.14-3.33, 1 La 3.33
La (0.1726, 0.4615, 0.8442)  1 Tm 3.02, 2 Y 3.14-3.33, 1 La 3.33
La (0.6716, 0.9615, 0.8442)  1 Tm 3.02, 2 Y 3.14-3.33, 1 La 3.33